1.
YAg4Te | PBE-GGA | relaxed

## Properties
formation energy without anion corrections: -104 kJ/mol of formula units
DOS at the Fermi energy: 4.023 states/eV per cell

Cell and atoms, written as POSCAR:
```
YAg4Te
1.0
-3.0741 1.0858 4.6524
-2.8824 4.8769 0.4258
-5.6742 -0.0208 -0.2759
Ag Te Y
4 1 1
direct
0.3747 0.8758 0.3747
0.8758 0.3747 0.3747
0.3747 0.3747 0.8758
0.3747 0.3747 0.3747
0.7500 0.7500 0.7500
0.0000 0.0000 0.0000
```

***

2.
Y3ZrAg3Te8 | PBE-GGA | relaxed

## Properties
formation energy without anion corrections: -1206 kJ/mol of formula units

Cell and atoms, written as POSCAR:
```
Y3ZrAg3Te8
1.0
8.6646 0.0000 0.0000
-4.3323 7.5034 -0.0373
0.0000 -4.9872 7.1692
Te Y Ag Zr
8 3 3 1
direct
0.7585 0.5170 0.2565
0.2415 0.0030 0.7436
0.7585 0.9970 0.2564
0.2385 0.9970 0.2564
0.2472 0.4943 0.2424
0.7528 0.5057 0.7576
0.2415 0.4830 0.7435
0.7615 0.0030 0.7436
0.0000 0.5000 0.5000
0.5000 0.0000 0.5000
0.5000 0.5000 0.5000
0.0000 0.5000 0.0000
0.5000 0.5000 0.0000
0.0000 0.0000 0.0000
0.0000 0.0000 0.5000
```

***

3.
ZnAgTe2 | PBE-GGA | relaxed

## Properties
formation energy without anion corrections: 8 kJ/mol of formula units
relative energy among the computed polymorphs: 200 meV per atom
DOS at the Fermi energy: 1.464 states/eV per cell

Cell and atoms, written as POSCAR:
```
ZnAgTe2
1.0
4.0666 0.0000 0.0000
0.0000 4.6333 -0.0073
0.0000 1.5275 5.4540
Ag Te Zn
1 2 1
direct
0.5000 0.7500 0.7500
0.0000 0.0010 0.0032
0.0000 0.4990 0.4968
0.5000 0.2500 0.2500
```

***

4.
ZnAgTe2 | PBE-GGA | relaxed

## Properties
formation energy without anion corrections: -19 kJ/mol of formula units
relative energy among the computed polymorphs: 129 meV per atom
DOS at the Fermi energy: 1.339 states/eV per cell

Cell and atoms, written as POSCAR:
```
ZnAgTe2
1.0
3.8787 0.0000 0.0000
0.0000 3.8786 0.0000
0.0000 0.0000 7.3472
Ag Te Zn
1 2 1
direct
0.5000 0.5000 0.7624
0.5000 0.5000 0.3674
0.0000 0.0000 0.8720
0.0000 0.0000 0.4982
```

***

5.
ZnAgTe2 | PBE-GGA | relaxed

## Properties
formation energy without anion corrections: 70 kJ/mol of formula units
relative energy among the computed polymorphs: 360 meV per atom
DOS at the Fermi energy: 2.676 states/eV per cell

Cell and atoms, written as POSCAR:
```
ZnAgTe2
1.0
3.1201 0.0000 0.0000
0.0000 3.9108 0.0000
0.0000 0.0000 7.8657
Ag Te Zn
1 2 1
direct
0.5000 0.5000 0.7500
0.0000 0.0000 0.0049
0.0000 0.0000 0.4951
0.5000 0.5000 0.2500
```

***

6.
Zn2AgTe2 | PBE-GGA | relaxed

## Properties
formation energy without anion corrections: 55 kJ/mol of formula units
relative energy among the computed polymorphs: 77 meV per atom
DOS at the Fermi energy: 4.047 states/eV per cell

Cell and atoms, written as POSCAR:
```
Zn2AgTe2
1.0
5.4409 0.0000 0.0000
0.0000 5.4409 0.0000
2.7204 2.7204 4.0446
Zn Te Ag
2 2 1
direct
0.3444 0.3444 0.3112
0.6556 0.6556 0.6888
0.7500 0.2500 0.5000
0.2500 0.7500 0.5000
0.0000 0.0000 0.0000
```

***

Question: Which value of formation energy without anion corrections does entry 3 give?
Answer: 8 kJ/mol of formula units

***

Question: formation energy without anion corrections of number 4 (ZnAgTe2)?
Answer: -19 kJ/mol of formula units

***

Question: Number 3 is which compound?
Answer: ZnAgTe2

***

Question: The lowest formation energy without anion corrections belongs to which entry?
Answer: Y3ZrAg3Te8